AlCd2Au | meta-GGA SCAN | PBEsol geometry

Cell: 2.9806 2.9806 9.7888 Å, 81.24 81.24 60.00°
Positions (direct):
Cd1 0.2514 0.2514 0.2458
Cd2 0.7486 0.7486 0.7542
Al1 0.5000 0.5000 0.5000
Au1 0.0000 0.0000 0.0000

- crystal system = trigonal
- electronic total energy (eV per atom) = -34.440
- ΔE_f (eV/atom) = -0.006
- magnetic moment (μB/cell) = 0.00



LaAlCdAu2 | meta-GGA SCAN | PBEsol geometry

Cell: 4.8638 4.8638 4.9342 Å, 90.00 90.00 90.00°
Positions (direct):
La1 0.5000 0.5000 0.5000
Al1 0.0000 0.0000 0.0000
Au1 0.5000 0.0000 0.0000
Au2 0.0000 0.5000 0.0000
Cd1 0.0000 0.0000 0.5000

- crystal system = tetragonal
- electronic total energy (eV per atom) = -44.370
- ΔE_f (eV/atom) = -0.453
- magnetic moment (μB/cell) = 0.00